Below is a relaxed K2PuF6 crystal, with properties calculated at the PBE level.

Summary:
ρ = 5.2 g/cm³
total energy = -56.38 eV per cell

abc: 5.971 5.971 4.489
angles: 90.14 90.14 60.29
Sites, in units of the cell vectors:
K1 0.165 0.165 0.287
K2 0.835 0.835 0.713
Pu1 0.500 0.500 0.000
F1 0.146 0.674 0.244
F2 0.326 0.854 0.756
F3 0.327 0.327 0.740
F4 0.673 0.673 0.260
F5 0.674 0.146 0.244
F6 0.854 0.326 0.756


Below is a relaxed AgTePt2 crystal, with properties calculated at the PBE level.

Summary:
ρ = 14.2 g/cm³
total energy = -69.81 eV per cell

abc: 6.636 6.636 6.636
angles: 90.00 90.00 90.00
Sites, in units of the cell vectors:
Ag1 0.000 0.000 0.000
Ag2 0.000 0.500 0.500
Ag3 0.500 0.000 0.500
Ag4 0.500 0.500 0.000
Te1 0.250 0.250 0.750
Te2 0.250 0.750 0.250
Te3 0.750 0.250 0.250
Te4 0.750 0.750 0.750
Pt1 0.000 0.000 0.500
Pt2 0.000 0.500 0.000
Pt3 0.250 0.250 0.250
Pt4 0.250 0.750 0.750
Pt5 0.500 0.000 0.000
Pt6 0.500 0.500 0.500
Pt7 0.750 0.250 0.750
Pt8 0.750 0.750 0.250


Below is a relaxed LaHo2Co2B2N3 crystal, with properties calculated at the PBE level.

Summary:
ρ = 8.6 g/cm³
total energy = -77.76 eV per cell

abc: 10.434 10.434 10.434
angles: 160.52 160.52 27.69
Sites, in units of the cell vectors:
La1 0.000 0.000 0.000
Ho1 0.371 0.371 0.000
Ho2 0.629 0.629 0.000
Co1 0.250 0.750 0.500
Co2 0.750 0.250 0.500
B1 0.197 0.197 0.000
B2 0.803 0.803 0.000
N1 0.123 0.123 0.000
N2 0.500 0.500 0.000
N3 0.877 0.877 0.000